1.
Compound: Os3Rh
Source: Alexandria
Functional: SCAN
Structure: PBEsol geometry

Output
**Total magnetic moment**: 0.00 μB/f.u.
**Symmetry**: Cmcm
**Calculated formation energy**: 34 meV per atom

POSCAR file:
```
Os3Rh
1.0
4.302 0.000 0.000
0.000 5.430 0.000
0.000 2.715 4.723
Os Rh
6 2
Cartesian
3.227 2.715 3.931
3.227 1.373 1.580
3.227 4.058 1.580
1.076 5.430 0.792
1.076 6.773 3.143
1.076 4.088 3.143
3.227 5.430 3.949
1.076 2.715 0.774
```



2.
Compound: Zn8Pt
Source: Alexandria
Functional: SCAN
Structure: PBEsol geometry

Output
**Total magnetic moment**: 0.00 μB/f.u.
**Symmetry**: I4/mmm
**Calculated formation energy**: -163 meV per atom

POSCAR file:
```
Zn8Pt
1.0
-0.435 3.700 0.508
-2.867 2.237 -4.830
-5.272 0.904 2.817
Pt Zn
1 8
Cartesian
0.000 0.000 0.000
-3.012 3.513 -0.335
-5.563 3.328 -1.170
-4.468 1.350 0.259
-2.200 3.958 -2.879
-1.905 1.534 1.110
-3.672 1.791 -2.272
-3.803 3.070 2.216
-1.102 1.979 -1.443
```



3.
Compound: LiYFe2Ag
Source: Alexandria
Functional: SCAN
Structure: PBEsol geometry

Output
**Total magnetic moment**: 4.92 μB/f.u.
**Symmetry**: P4/mmm
**Calculated formation energy**: 890 meV per atom

POSCAR file:
```
LiYFe2Ag
1.0
-2.294 3.028 1.711
-2.374 0.134 -3.421
-2.890 -3.250 1.878
Y Fe Ag Li
1 2 1 1
Cartesian
-1.445 -1.625 0.939
-1.187 0.067 -1.711
-1.147 1.514 0.855
-3.779 -0.044 0.084
0.000 0.000 0.000
```



4.
Compound: Mg2CuRh
Source: Alexandria
Functional: SCAN
Structure: PBEsol geometry

Output
**Total magnetic moment**: 0.00 μB/f.u.
**Symmetry**: Imm2
**Calculated formation energy**: -327 meV per atom

POSCAR file:
```
Mg2CuRh
1.0
-1.179 1.799 2.267
-3.669 0.343 -2.180
0.854 -4.710 2.027
Mg Rh Cu
2 1 1
Cartesian
-3.951 -2.468 2.057
-1.414 -1.012 2.221
-2.460 0.988 0.090
-2.588 -1.573 -0.097
```



5.
Compound: SnBrF2
Source: Alexandria
Functional: SCAN
Structure: PBEsol geometry

Output
**Total magnetic moment**: 0.89 μB/f.u.
**Formation energy without anion corrections**: -1283.5 meV/atom
**Symmetry**: R-3m

POSCAR file:
```
SnBrF2
1.0
-1.937 3.060 0.951
-2.476 -0.148 2.805
4.872 3.208 6.970
Sn Br F
1 1 2
Cartesian
0.229 3.060 5.363
0.000 0.000 0.000
-1.921 3.791 6.002
2.380 2.329 4.724
```



6.
Compound: CaCu2Br
Source: Alexandria
Functional: SCAN
Structure: PBEsol geometry

Output
**Total magnetic moment**: 0.00 μB/f.u.
**Polymorph energy (0 for the lowest one)**: 243 meV per atom
**Formation energy without anion corrections**: -165.2 meV/atom
**Symmetry**: P4/mmm

POSCAR file:
```
CaCu2Br
1.0
-0.369 -2.703 -2.721
2.994 -1.911 1.493
-3.296 -2.710 3.139
Br Ca Cu
1 1 2
Cartesian
-0.336 -3.662 0.956
-1.648 -1.355 1.570
1.497 -0.956 0.746
-0.185 -1.351 -1.360
```



7.
Compound: Co3AgF
Source: Alexandria
Functional: SCAN
Structure: PBEsol geometry

Output
**Total magnetic moment**: 5.71 μB/f.u.
**Formation energy without anion corrections**: 207.1 meV/atom
**Symmetry**: Pm-3m

POSCAR file:
```
Co3AgF
1.0
3.960 0.000 0.000
0.000 3.960 0.000
0.000 0.000 3.960
Co Ag F
3 1 1
Cartesian
0.000 1.980 0.000
0.000 0.000 1.980
1.980 0.000 0.000
1.980 1.980 1.980
0.000 0.000 0.000
```



8.
Compound: CuOs2Ru
Source: Alexandria
Functional: SCAN
Structure: PBEsol geometry

Output
**Total magnetic moment**: 0.00 μB/f.u.
**Polymorph energy (0 for the lowest one)**: 45 meV per atom
**Symmetry**: Cm
**Calculated formation energy**: 298 meV per atom

POSCAR file:
```
CuOs2Ru
1.0
-1.609 1.727 1.263
-3.586 -1.676 -2.278
0.742 -3.518 2.919
Cu Os Ru
1 2 1
Cartesian
-1.748 -0.892 1.829
-4.431 -3.431 1.884
-2.746 -2.590 0.043
-2.579 0.004 -0.455
```



9.
Compound: KBe2PtSe
Source: Alexandria
Functional: SCAN
Structure: PBEsol geometry

Output
**Total magnetic moment**: 0.00 μB/f.u.
**Formation energy without anion corrections**: 774.4 meV/atom
**Symmetry**: P4/mmm

POSCAR file:
```
KBe2PtSe
1.0
4.307 0.000 0.000
0.000 4.307 0.000
0.000 0.000 5.517
Be K Se Pt
2 1 1 1
Cartesian
0.000 2.154 0.000
2.154 0.000 0.000
0.000 0.000 2.758
0.000 0.000 0.000
2.154 2.154 2.758
```



10.
Compound: ZnSb2CI
Source: Alexandria
Functional: SCAN
Structure: PBEsol geometry

Output
**Total magnetic moment**: 0.00 μB/f.u.
**Formation energy without anion corrections**: 1281.8 meV/atom
**Symmetry**: P4/mmm

POSCAR file:
```
ZnSb2CI
1.0
-4.209 -2.038 0.536
0.881 -0.615 4.583
-2.070 4.541 1.007
I Sb Zn C
1 2 1 1
Cartesian
-1.035 2.270 0.504
0.441 -0.307 2.292
-2.105 -1.019 0.268
-2.699 0.944 3.063
0.000 0.000 0.000
```



11.
Compound: BeCdMo4
Source: Alexandria
Functional: SCAN
Structure: PBEsol geometry

Output
**Total magnetic moment**: 0.00 μB/f.u.
**Symmetry**: F-43m
**Calculated formation energy**: 690 meV per atom

POSCAR file:
```
BeCdMo4
1.0
5.170 0.000 0.000
2.585 4.478 0.000
2.585 1.493 4.222
Be Cd Mo
1 1 4
Cartesian
2.585 1.493 1.055
0.000 0.000 0.000
5.170 2.985 0.530
3.880 3.730 2.638
5.170 1.495 2.638
6.461 3.730 2.638
```



12.
Compound: KSbRu
Source: Alexandria
Functional: SCAN
Structure: PBEsol geometry

Output
**Total magnetic moment**: 0.00 μB/f.u.
**Formation energy without anion corrections**: 54.1 meV/atom
**Symmetry**: I4mm

POSCAR file:
```
KSbRu
1.0
-1.147 -1.904 -2.486
-0.450 -2.520 2.138
-5.107 4.252 1.335
K Ru Sb
1 1 1
Cartesian
-0.066 0.023 0.013
-3.181 -1.389 0.294
-3.457 1.194 0.680
```



13.
Compound: BaSb2Au
Source: Alexandria
Functional: SCAN
Structure: PBEsol geometry

Output
**Total magnetic moment**: 0.00 μB/f.u.
**Formation energy without anion corrections**: -590.5 meV/atom
**Symmetry**: Pm

POSCAR file:
```
BaSb2Au
1.0
4.758 0.000 0.002
0.000 4.994 0.000
-0.039 0.000 5.523
Au Ba Sb
1 1 2
Cartesian
3.334 0.000 2.700
1.196 2.497 4.247
3.544 0.000 5.361
3.725 2.497 1.504
```



14.
Compound: La2ScSn2
Source: Alexandria
Functional: SCAN
Structure: PBEsol geometry

Output
**Total magnetic moment**: 0.00 μB/f.u.
**Symmetry**: P4/mbm
**Calculated formation energy**: -841 meV per atom

POSCAR file:
```
La2ScSn2
1.0
-2.463 0.467 4.002
2.863 -6.844 2.561
6.053 3.762 3.286
Sc Sn La
2 4 4
Cartesian
0.000 0.000 0.000
4.458 -1.541 2.923
6.302 0.750 3.790
6.314 -3.555 4.300
2.615 -3.831 2.057
2.603 0.473 1.547
3.331 1.584 4.651
5.704 -1.252 6.442
3.123 -4.198 5.198
0.750 -1.362 3.406
```



15.
Compound: AlCoCl2
Source: Alexandria
Functional: SCAN
Structure: PBEsol geometry

Output
**Total magnetic moment**: 0.00 μB/f.u.
**Formation energy without anion corrections**: -520.4 meV/atom
**Symmetry**: Cm

POSCAR file:
```
AlCoCl2
1.0
2.949 0.000 0.000
1.475 3.192 -0.199
1.475 0.330 8.038
Co Al Cl
1 1 2
Cartesian
2.949 1.477 4.133
4.424 2.960 5.539
2.949 3.237 7.284
1.475 1.132 2.641
```



16.
Compound: TaTc2Se
Source: Alexandria
Functional: SCAN
Structure: PBEsol geometry

Output
**Total magnetic moment**: 0.00 μB/f.u.
**Formation energy without anion corrections**: 186.9 meV/atom
**Symmetry**: Pmmm

POSCAR file:
```
TaTc2Se
1.0
3.025 0.000 0.000
0.000 4.380 0.000
0.000 0.000 4.565
Se Ta Tc
1 1 2
Cartesian
1.513 2.190 0.000
0.000 2.190 2.283
0.000 0.000 0.000
1.513 0.000 2.283
```



17.
Compound: IrRhW2
Source: Alexandria
Functional: SCAN
Structure: PBEsol geometry

Output
**Total magnetic moment**: 0.00 μB/f.u.
**Polymorph energy (0 for the lowest one)**: 0 meV per atom
**Symmetry**: I4/mmm
**Calculated formation energy**: -287 meV per atom

POSCAR file:
```
IrRhW2
1.0
3.875 0.000 0.000
0.000 3.875 0.000
-1.938 -1.938 3.882
Ir Rh W
1 1 2
Cartesian
0.000 0.000 0.000
1.938 1.938 0.000
1.938 0.000 1.941
0.000 1.938 1.941
```



18.
Compound: RbYAg2C
Source: Alexandria
Functional: SCAN
Structure: PBEsol geometry

Output
**Total magnetic moment**: 0.06 μB/f.u.
**Symmetry**: P4/mmm
**Calculated formation energy**: 2690 meV per atom

POSCAR file:
```
RbYAg2C
1.0
-3.815 3.307 1.250
-2.627 -3.882 2.254
2.772 1.197 5.293
Y C Rb Ag
1 1 1 2
Cartesian
1.386 0.599 2.647
-1.835 0.311 4.399
0.000 0.000 0.000
-1.314 -1.941 1.127
-1.907 1.654 0.625
```



19.
Compound: LiMg2Fe
Source: Alexandria
Functional: SCAN
Structure: PBEsol geometry

Output
**Total magnetic moment**: 2.46 μB/f.u.
**Symmetry**: P4/mmm
**Calculated formation energy**: 149 meV per atom

POSCAR file:
```
LiMg2Fe
1.0
2.976 0.000 0.000
0.000 4.656 0.000
0.000 0.000 4.656
Fe Li Mg
1 1 2
Cartesian
1.488 2.328 2.328
1.488 0.000 0.000
0.000 0.000 2.328
0.000 2.328 0.000
```



20.
Compound: BeCd2Co
Source: Alexandria
Functional: SCAN
Structure: PBEsol geometry

Output
**Total magnetic moment**: 0.00 μB/f.u.
**Symmetry**: Pm
**Calculated formation energy**: 327 meV per atom

POSCAR file:
```
BeCd2Co
1.0
-1.198 0.300 -2.663
-2.051 -3.217 0.561
-3.178 2.609 3.343
Be Co Cd
1 1 2
Cartesian
-3.804 0.386 1.559
-2.055 1.465 0.885
-3.099 2.515 3.092
-2.836 -0.610 -0.614
```